NbZn2FeAg | PBE | relaxed

a b c (Å): 4.627 4.627 5.140
angles (deg): 90.00 90.00 90.00
Fractional positions:
1 Nb 0.000 0.000 0.000
2 Zn 0.000 0.500 0.500
3 Zn 0.500 0.000 0.500
4 Fe 0.500 0.500 0.000
5 Ag 0.000 0.000 0.500

## Properties
N(E_F)	1.1281	states/eV per atom
calculated formation energy	1.2991	eV per atom